PBE-GGA HgMoCl4, relaxed; offset from the most stable computed form = 1.4764 eV/atom; uncorrected energy = -2.229 eV per atom; SG = F-43m (216); volume = 24.17 Å³/atom; formation energy (no corrections) = 19.778 kcal/mol of atoms; magnetization = 5.70 Bohr magnetons per cell
1.0
0.0000 4.1701 4.1701
4.1701 0.0000 4.1701
4.1701 4.1701 0.0000
Hg Mo Cl
1 1 4
Cartesian
0.0000 0.0000 0.0000
6.2551 6.2551 6.2551
3.1302 3.1302 3.1302
5.2100 5.2100 3.1302
5.2100 3.1302 5.2100
3.1302 5.2100 5.2100